(1)
Below is a geometry-optimized Tm5Th2Sb4 structure, with properties calculated at the GGA-PBE level.

```
data_Tm5Th2Sb4
_chemical_formula_sum 'Tm5 Th2 Sb4'
_cell_length_a 3.970
_cell_length_b 6.803
_cell_length_c 13.210
_cell_angle_alpha 90.22
_cell_angle_beta 98.64
_cell_angle_gamma 90.00
_symmetry_space_group_name_H-M 'P 1'
_symmetry_Int_Tables_number 1
_symmetry_space_group_name_Hall 'P 1'
loop_
_atom_site_label
_atom_site_type_symbol
_atom_site_fract_x
_atom_site_fract_y
_atom_site_fract_z
Th1 Th 0.914 0.712 0.829
Th2 Th 0.086 0.288 0.171
Sb1 Sb 0.672 0.474 0.345
Sb2 Sb 0.328 0.526 0.655
Sb3 Sb 0.960 0.286 0.921
Sb4 Sb 0.040 0.714 0.079
Tm1 Tm 0.848 0.193 0.697
Tm2 Tm 0.500 0.000 0.000
Tm3 Tm 0.235 0.224 0.471
Tm4 Tm 0.765 0.776 0.529
Tm5 Tm 0.152 0.807 0.303
```

Calculated values
- total energy (eV/cell) = -57.718
- space-group type = C2/m (12)
- E_form (uncorrected) (kJ/mol of atoms) = -35

***

(2)
Below is a geometry-optimized Tm5ThSb6 structure, with properties calculated at the GGA-PBE level.

```
data_Tm5ThSb6
_chemical_formula_sum 'Tm5 Th1 Sb6'
_cell_length_a 7.570
_cell_length_b 7.563
_cell_length_c 7.562
_cell_angle_alpha 60.00
_cell_angle_beta 80.38
_cell_angle_gamma 70.48
_symmetry_space_group_name_H-M 'P 1'
_symmetry_Int_Tables_number 1
_symmetry_space_group_name_Hall 'P 1'
loop_
_atom_site_label
_atom_site_type_symbol
_atom_site_fract_x
_atom_site_fract_y
_atom_site_fract_z
Sb1 Sb 0.255 0.915 0.660
Sb2 Sb 0.748 0.743 0.000
Sb3 Sb 0.252 0.257 0.000
Sb4 Sb 0.745 0.085 0.340
Sb5 Sb 0.255 0.575 0.340
Sb6 Sb 0.745 0.425 0.660
Tm1 Tm 0.500 0.836 0.327
Tm2 Tm 0.500 0.164 0.673
Tm3 Tm 0.000 0.668 0.665
Tm4 Tm 0.500 0.500 0.000
Tm5 Tm 0.000 0.332 0.335
Th1 Th 0.000 0.000 0.000
```

Calculated values
- total energy (eV/cell) = -67.068
- space-group type = C2/m (12)
- E_form (uncorrected) (kJ/mol of atoms) = -101

***

(3)
Below is a geometry-optimized Tm5ThSb2 structure, with properties calculated at the GGA-PBE level.

```
data_Tm5ThSb2
_chemical_formula_sum 'Tm10 Th2 Sb4'
_cell_length_a 4.058
_cell_length_b 6.345
_cell_length_c 19.097
_cell_angle_alpha 90.00
_cell_angle_beta 90.00
_cell_angle_gamma 108.65
_symmetry_space_group_name_H-M 'P 1'
_symmetry_Int_Tables_number 1
_symmetry_space_group_name_Hall 'P 1'
loop_
_atom_site_label
_atom_site_type_symbol
_atom_site_fract_x
_atom_site_fract_y
_atom_site_fract_z
Tm1 Tm 0.396 0.791 0.750
Tm2 Tm 0.364 0.728 0.477
Tm3 Tm 0.954 0.909 0.885
Tm4 Tm 0.954 0.909 0.615
Tm5 Tm 0.604 0.209 0.250
Tm6 Tm 0.046 0.091 0.385
Tm7 Tm 0.636 0.272 0.523
Tm8 Tm 0.636 0.272 0.977
Tm9 Tm 0.364 0.728 0.023
Tm10 Tm 0.046 0.091 0.115
Th1 Th 0.334 0.667 0.250
Th2 Th 0.666 0.333 0.750
Sb1 Sb 0.759 0.517 0.123
Sb2 Sb 0.241 0.483 0.877
Sb3 Sb 0.759 0.517 0.377
Sb4 Sb 0.241 0.483 0.623
```

Calculated values
- total energy (eV/cell) = -83.347
- space-group type = Cmcm (63)
- E_form (uncorrected) (kJ/mol of atoms) = -44